1.
Material: Ga2FeCu
Method: DFT, PBE
State: relaxed

Cell lengths 4.202, 4.202, 4.202 Å; angles 60.00, 60.00, 60.00 degrees
Site moments in Bohr magnetons follow the coordinates.
Element x y z (fractional)
Ga 0.750 0.750 0.750  -0.03
Cu 0.500 0.500 0.500  0.04
Ga 0.250 0.250 0.250  -0.03
Fe 0.000 0.000 0.000  1.55

Computed properties:
For the calculated density, the calculation gives 8.20 Mg/m³. As for the crystal system: cubic. As for the formation energy: -0.01 eV per formula unit. As for the space-group type: Fm-3m (225).

***

2.
Material: GaFe3Cu
Method: DFT, PBE
State: relaxed

Cell lengths 4.426, 4.426, 4.426 Å; angles 90.00, 90.00, 90.00 degrees
Site moments in Bohr magnetons follow the coordinates.
Element x y z (fractional)
Fe 0.000 0.500 0.000  2.82
Fe 0.000 0.000 0.500  2.92
Ga 0.000 0.000 0.000  -0.17
Cu 0.500 0.500 0.500  0.06
Fe 0.500 0.000 0.000  2.47

Computed properties:
For the calculated density, the calculation gives 5.76 Mg/m³. As for the crystal system: cubic. As for the formation energy: 5.85 eV per formula unit. The relative energy among the computed polymorphs is 1.017 eV/atom. As for the space-group type: Pm-3m (221).

***

3.
Material: Ga2FeCu
Method: DFT, PBE
State: relaxed

Cell lengths 2.784, 2.784, 8.281 Å; angles 80.32, 80.32, 60.00 degrees
Site moments in Bohr magnetons follow the coordinates.
Element x y z (fractional)
Fe 0.666 0.666 0.001  2.19
Ga 0.251 0.251 0.246  -0.04
Cu 0.501 0.501 0.498  0.01
Ga 0.082 0.082 0.755  -0.04

Computed properties:
For the calculated density, the calculation gives 7.88 Mg/m³. As for the crystal system: trigonal. As for the formation energy: -0.12 eV per formula unit. As for the space-group type: R3m (160).

***

4.
Material: GaFeCu
Method: DFT, PBE
State: relaxed

Cell lengths 2.637, 2.637, 5.854 Å; angles 103.02, 103.02, 90.00 degrees
Site moments in Bohr magnetons follow the coordinates.
Element x y z (fractional)
Cu 0.998 0.998 0.995  0.05
Ga 0.668 0.668 0.336  -0.05
Fe 0.334 0.334 0.668  2.50

Computed properties:
For the calculated density, the calculation gives 8.14 Mg/m³. As for the crystal system: tetragonal. As for the formation energy: 0.00 eV per formula unit. As for the space-group type: I4mm (107).

***

5.
Material: Ga2FeCu
Method: DFT, PBE
State: relaxed

Cell lengths 2.917, 2.917, 6.057 Å; angles 90.00, 90.00, 90.00 degrees
Element x y z (fractional)
Fe 0.500 0.500 0.000
Ga 0.000 0.000 0.769
Ga 0.000 0.000 0.231
Cu 0.500 0.500 0.500

Computed properties:
For the calculated density, the calculation gives 8.34 Mg/m³. As for the crystal system: tetragonal. As for the formation energy: -0.17 eV per formula unit. As for the space-group type: P4/mmm (123).

***

6.
Material: GaFeCu2H
Method: DFT, PBE
State: relaxed

Cell lengths 3.710, 3.710, 3.781 Å; angles 90.00, 90.00, 90.00 degrees
Site moments in Bohr magnetons follow the coordinates.
Element x y z (fractional)
Cu 0.500 0.000 0.000  -0.01
H 0.000 0.000 0.000  -0.01
Ga 0.500 0.500 0.500  -0.06
Fe 0.000 0.000 0.500  1.99
Cu 0.000 0.500 0.000  -0.01

Computed properties:
For the calculated density, the calculation gives 8.09 Mg/m³. As for the crystal system: tetragonal. The relative energy among the computed polymorphs is 0.000 eV/atom. As for the space-group type: P4/mmm (123).

***

> The lowest calculated density belongs to which entry?

GaFe3Cu